# ScCu2Ag | Alexandria | meta-GGA SCAN | single point on PBEsol structure
# - calculated formation energy (meV per atom) = -170
# - Fermi-level density of states (states/eV per atom) = 0.3892
# - crystal system = tetragonal
# - calculated volume (Å³/atom) = 14.9
data_ScCu2Ag
_cell_length_a 4.0401
_cell_length_b 4.0401
_cell_length_c 7.3022
_cell_angle_alpha 90.00
_cell_angle_beta 90.00
_cell_angle_gamma 90.00
_symmetry_space_group_name_H-M 'I 4/m m m'
_symmetry_Int_Tables_number 139
_symmetry_space_group_name_Hall '-I 4 2'
loop_
_atom_site_label
_atom_site_type_symbol
_atom_site_fract_x
_atom_site_fract_y
_atom_site_fract_z
Sc1 Sc 0.0000 0.0000 0.0000
Cu1 Cu 0.0000 0.5000 0.2500
Ag1 Ag 0.0000 0.0000 0.5000